Entry from Alexandria: SmSc4Al5 after structural relaxation (PBE).

Cell lengths 3.432, 3.432, 17.232 Å; angles 90.00, 90.00, 90.00 degrees
Positions (direct):
1 Sm 0.000 0.000 0.000
2 Sc 0.000 0.000 0.213
3 Sc 0.000 0.000 0.405
4 Sc 0.000 0.000 0.595
5 Sc 0.000 0.000 0.787
6 Al 0.500 0.500 0.119
7 Al 0.500 0.500 0.309
8 Al 0.500 0.500 0.500
9 Al 0.500 0.500 0.691
10 Al 0.500 0.500 0.881

## Properties
Space-group type: No. 123
E_form in eV per atom: -0.428

---

Entry from Alexandria: Sm2Sc2Al3 after structural relaxation (PBE).

Cell lengths 4.444, 23.179, 3.128 Å; angles 90.00, 90.00, 90.00 degrees
Positions (direct):
1 Sm 0.000 0.076 0.000
2 Sm 0.000 0.924 0.000
3 Sm 0.500 0.424 0.000
4 Sm 0.500 0.576 0.000
5 Sc 0.000 0.210 0.000
6 Sc 0.000 0.790 0.000
7 Sc 0.500 0.290 0.000
8 Sc 0.500 0.710 0.000
9 Al 0.000 0.339 0.500
10 Al 0.000 0.500 0.500
11 Al 0.000 0.661 0.500
12 Al 0.500 0.000 0.500
13 Al 0.500 0.161 0.500
14 Al 0.500 0.839 0.500

## Properties
Space-group type: No. 65
E_form in eV per atom: -0.243

---

Entry from Alexandria: Sm2ScAl9 after structural relaxation (PBE).

Cell lengths 9.365, 9.365, 9.365 Å; angles 34.61, 34.61, 34.61 degrees
Positions (direct):
1 Sm 0.142 0.142 0.142
2 Sm 0.858 0.858 0.858
3 Sc 0.000 0.000 0.000
4 Al 0.076 0.586 0.586
5 Al 0.335 0.335 0.335
6 Al 0.414 0.414 0.924
7 Al 0.414 0.924 0.414
8 Al 0.500 0.500 0.500
9 Al 0.586 0.076 0.586
10 Al 0.586 0.586 0.076
11 Al 0.665 0.665 0.665
12 Al 0.924 0.414 0.414

## Properties
Space-group type: No. 166
E_form in eV per atom: -0.296

---

Entry from Alexandria: Sm3ScAl8 after structural relaxation (PBE).

Cell lengths 9.696, 9.696, 9.696 Å; angles 33.36, 33.36, 33.36 degrees
Positions (direct):
1 Sm 0.000 0.000 0.000
2 Sm 0.126 0.126 0.126
3 Sm 0.502 0.502 0.502
4 Sc 0.625 0.625 0.625
5 Al 0.061 0.562 0.562
6 Al 0.064 0.064 0.565
7 Al 0.064 0.565 0.064
8 Al 0.313 0.313 0.313
9 Al 0.562 0.061 0.562
10 Al 0.562 0.562 0.061
11 Al 0.565 0.064 0.064
12 Al 0.814 0.814 0.814

## Properties
Space-group type: No. 160
E_form in eV per atom: -0.493
Polymorph energy (0 for the lowest one) in eV per formula unit: 0.00

---

Entry from Alexandria: Sm4ScAl after structural relaxation (PBE).

Cell lengths 8.254, 8.254, 6.179 Å; angles 100.12, 100.12, 115.37 degrees
Positions (direct):
1 Sm 0.084 0.713 0.950
2 Sm 0.184 0.394 0.628
3 Sm 0.287 0.916 0.550
4 Sm 0.394 0.184 0.128
5 Sm 0.606 0.816 0.872
6 Sm 0.713 0.084 0.450
7 Sm 0.816 0.606 0.372
8 Sm 0.916 0.287 0.050
9 Sc 0.403 0.597 0.250
10 Sc 0.597 0.403 0.750
11 Al 0.000 0.000 0.250
12 Al 0.000 0.000 0.750

## Properties
Space-group type: No. 15
E_form in eV per atom: -0.006

---

Entry from Alexandria: SmSc2Al after structural relaxation (PBE).

Cell lengths 4.576, 4.576, 4.586 Å; angles 90.00, 90.00, 90.00 degrees
Positions (direct):
1 Sm 0.000 0.000 0.000
2 Sc 0.000 0.500 0.500
3 Sc 0.500 0.000 0.500
4 Al 0.500 0.500 0.000

## Properties
Space-group type: No. 123
E_form in eV per atom: -0.191
Polymorph energy (0 for the lowest one) in eV per formula unit: 0.06

---

Entry from Alexandria: SmSc2Al after structural relaxation (PBE).

Cell lengths 3.365, 3.365, 30.444 Å; angles 90.00, 90.00, 120.00 degrees
Positions (direct):
1 Sm 0.000 0.000 0.000
2 Sm 0.333 0.667 0.667
3 Sm 0.667 0.333 0.333
4 Sc 0.000 0.000 0.571
5 Sc 0.000 0.000 0.760
6 Sc 0.333 0.667 0.238
7 Sc 0.333 0.667 0.427
8 Sc 0.667 0.333 0.093
9 Sc 0.667 0.333 0.905
10 Al 0.000 0.000 0.165
11 Al 0.333 0.667 0.832
12 Al 0.667 0.333 0.499

## Properties
Space-group type: No. 160
E_form in eV per atom: -0.055
Polymorph energy (0 for the lowest one) in eV per formula unit: 0.61

---

Entry from Alexandria: SmSc4Al after structural relaxation (PBE).

Cell lengths 8.768, 5.076, 6.495 Å; angles 90.00, 90.22, 90.00 degrees
Positions (direct):
1 Sm 0.000 0.000 0.000
2 Sm 0.500 0.500 0.000
3 Sc 0.166 0.500 0.643
4 Sc 0.167 0.500 0.150
5 Sc 0.333 0.000 0.850
6 Sc 0.334 0.000 0.357
7 Sc 0.666 0.000 0.643
8 Sc 0.667 0.000 0.150
9 Sc 0.833 0.500 0.850
10 Sc 0.834 0.500 0.357
11 Al 0.000 0.000 0.500
12 Al 0.500 0.500 0.500

## Properties
Space-group type: No. 12
E_form in eV per atom: -0.047

---

Entry from Alexandria: SmSc3Al4 after structural relaxation (PBE).

Cell lengths 9.848, 6.536, 5.159 Å; angles 90.00, 90.00, 90.00 degrees
Positions (direct):
1 Sm 0.000 0.000 0.000
2 Sm 0.500 0.000 0.000
3 Sc 0.000 0.500 0.000
4 Sc 0.250 0.000 0.409
5 Sc 0.250 0.500 0.376
6 Sc 0.500 0.500 0.000
7 Sc 0.750 0.000 0.591
8 Sc 0.750 0.500 0.624
9 Al 0.000 0.272 0.500
10 Al 0.000 0.728 0.500
11 Al 0.250 0.272 0.870
12 Al 0.250 0.728 0.870
13 Al 0.500 0.272 0.500
14 Al 0.500 0.728 0.500
15 Al 0.750 0.272 0.130
16 Al 0.750 0.728 0.130

## Properties
Space-group type: No. 51
E_form in eV per atom: -0.413

---

Entry from Alexandria: SmSc7Al4 after structural relaxation (PBE).

Cell lengths 7.026, 7.026, 9.932 Å; angles 122.02, 122.02, 42.92 degrees
Positions (direct):
1 Sm 0.000 0.000 0.000
2 Sc 0.063 0.063 0.389
3 Sc 0.217 0.217 0.874
4 Sc 0.307 0.307 0.368
5 Sc 0.500 0.500 0.000
6 Sc 0.693 0.693 0.632
7 Sc 0.783 0.783 0.126
8 Sc 0.937 0.937 0.611
9 Al 0.319 0.319 0.668
10 Al 0.440 0.440 0.230
11 Al 0.560 0.560 0.770
12 Al 0.681 0.681 0.332

## Properties
Space-group type: No. 12
E_form in eV per atom: -0.088

---

Entry from Alexandria: SmSc3Al8 after structural relaxation (PBE).

Cell lengths 5.427, 5.427, 8.903 Å; angles 90.00, 90.00, 120.00 degrees
Positions (direct):
1 Sm 0.000 0.000 0.000
2 Sc 0.000 0.000 0.367
3 Sc 0.667 0.333 0.499
4 Sc 0.667 0.333 0.859
5 Al 0.162 0.324 0.678
6 Al 0.162 0.838 0.678
7 Al 0.333 0.667 0.435
8 Al 0.333 0.667 0.931
9 Al 0.505 0.009 0.190
10 Al 0.505 0.495 0.190
11 Al 0.676 0.838 0.678
12 Al 0.991 0.495 0.190

## Properties
Space-group type: No. 156
E_form in eV per atom: -0.474
Polymorph energy (0 for the lowest one) in eV per formula unit: 0.07

---

Entry from Alexandria: SmScAl6 after structural relaxation (PBE).

Cell lengths 6.099, 6.099, 4.715 Å; angles 90.00, 90.00, 120.00 degrees
Positions (direct):
1 Sm 0.000 0.000 0.000
2 Sc 0.667 0.333 0.500
3 Al 0.023 0.511 0.000
4 Al 0.185 0.370 0.500
5 Al 0.185 0.815 0.500
6 Al 0.489 0.511 0.000
7 Al 0.489 0.977 0.000
8 Al 0.630 0.815 0.500

## Properties
Space-group type: No. 187
E_form in eV per atom: -0.390

---

no.,VASP energy (eV per atom)
1,-5.304
2,-5.004
3,-4.418
4,-4.695
5,-4.831
6,-5.472
7,-5.336
8,-5.678
9,-5.248
10,-5.423
11,-4.945
12,-4.578